Material: ZrTl2Os
Method: DFT, PBE
State: optimized geometry

Cell: 3.2211 4.2556 6.0160 Å, 90.00 90.00 90.00°
Closest atoms and distances in Å follow each position.
Space group Pmmm (No. 47)
Symmetry-distinct sites (fractional):
Zr (0.0000, 0.0000, 0.0000) [1 per cell]  2 Os 3.01, 8 Tl 3.10, 2 Zr 3.22
Tl (0.5000, 0.5000, 0.2633) [2 per cell]  2 Tl 2.85-3.17, 4 Os 3.02, 4 Zr 3.10
Os (0.0000, 0.0000, 0.5000) [1 per cell]  2 Zr 3.01, 8 Tl 3.02, 2 Os 3.22

Calculated values
**Spin magnetization**: 0.00 μB/cell
**Energy above the most stable polymorph in this dataset**: 445 meV per atom

***

Material: La2ZnBiRh
Method: DFT, PBE
State: optimized geometry

Cell: 5.7036 5.7036 4.5834 Å, 90.00 90.00 90.00°
Closest atoms and distances in Å follow each position.
Space group P4/mmm (No. 123)
Symmetry-distinct sites (fractional):
La (0.0000, 0.5000, 0.0000) [2 per cell]  2 Zn 2.85
Zn (0.0000, 0.0000, 0.0000) [1 per cell]  2 Rh 2.29
Bi (0.5000, 0.5000, 0.5000) [1 per cell]  8 La 3.66, 4 Rh 4.03
Rh (0.0000, 0.0000, 0.5000) [1 per cell]  2 Zn 2.29

Calculated values
**Spin magnetization**: 0.00 μB/cell
**Energy above the most stable polymorph in this dataset**: 513 meV per atom

***

Material: Nb5OsW
Method: DFT, PBE
State: optimized geometry

Cell: 6.4936 8.6880 9.2467 Å, 90.00 103.31 90.00°
Closest atoms and distances in Å follow each position.
Space group C2/c (No. 15)
Symmetry-distinct sites (fractional):
Nb (0.0000, 0.1333, 0.2500) [4 per cell]  2 W 2.59, 2 Nb 2.73
Nb (0.1042, 0.3551, 0.5069) [8 per cell]  3 Nb 2.65-2.85, 2 Os 2.69-2.74, 1 W 2.88
Nb (0.1998, 0.1816, 0.8233) [8 per cell]  3 Nb 2.64-2.80, 1 Os 2.78, 1 W 2.80
Os (0.0000, 0.4872, 0.7500) [4 per cell]  8 Nb 2.69-2.96
W (0.0000, 0.0000, 0.0000) [4 per cell]  6 Nb 2.59-2.88

Calculated values
**Spin magnetization**: 0.00 μB/cell

***

Material: SrAlPt2
Method: DFT, PBE
State: optimized geometry

Cell: 7.0254 7.0328 3.0940 Å, 90.00 90.00 90.00°
Closest atoms and distances in Å follow each position.
Space group Cmmm (No. 65)
Symmetry-distinct sites (fractional):
Sr (0.0000, 0.0000, 0.0000) [2 per cell]  8 Pt 2.93, 2 Sr 3.09
Al (0.0000, 0.5000, 0.0000) [2 per cell]  8 Pt 2.93, 2 Al 3.09
Pt (0.2500, 0.2500, 0.5000) [4 per cell]  4 Sr 2.93, 4 Al 2.93, 2 Pt 3.09

Calculated values
**Spin magnetization**: 0.00 μB/cell

***

Going through the records in order, we get final energy values of -22.089; -23.218; -72.359; -19.535 eV per formula unit.
Going through the records in order, we get Fermi-level density of states values of 4.04; 5.30; 7.11; 1.22 states/eV/f.u..
Going through the records in order, we get formation energy from the elements values of 0.605; -0.171; 0.310; -0.507 eV/atom.